## Dy3Tm2Mg2 (PBE)

Data for crystalline Dy3Tm2Mg2 at its relaxed geometry.

Unit cell a=5.216 b=3.447 c=11.685 alpha=90.00 beta=77.10 gamma=90.00
Atoms (fractional coordinates):
Tm  0.288  0.500  0.424
Tm  0.712  0.500  0.576
Mg  0.431  0.500  0.138
Mg  0.569  0.500  0.862
Dy  0.849  0.000  0.302
Dy  0.151  0.000  0.698
Dy  0.000  0.000  0.000

Total moment: 0.0 μB per formula unit
Formation energy from the elements: 0.036 eV per atom
Crystal system: orthorhombic